Entry 1:
Pm3Y3Cd2 | PBE-GGA | optimized geometry

Unit cell a=5.3309 b=6.4915 c=15.6793 alpha=90.00 beta=90.00 gamma=114.24
Closest atoms and distances in Å follow each position.
Element x y z (fractional)
Cd  0.2310  0.4619  0.3631  4 Y 3.05-3.29, 3 Pm 3.20-3.21
Cd  0.7690  0.5381  0.6369  4 Y 3.05-3.29, 3 Pm 3.20-3.21
Cd  0.7690  0.5381  0.8631  4 Y 3.05-3.29, 3 Pm 3.20-3.21
Cd  0.2310  0.4619  0.1369  4 Y 3.05-3.29, 3 Pm 3.20-3.21
Pm  0.0373  0.0745  0.8933  1 Cd 3.21, 2 Pm 3.46-3.50, 2 Y 3.49
Pm  0.7363  0.4725  0.2500  4 Cd 3.20, 3 Y 3.30-3.57, 2 Pm 3.50
Pm  0.0373  0.0745  0.6067  1 Cd 3.21, 2 Pm 3.46-3.50, 2 Y 3.49
Pm  0.9627  0.9255  0.3933  1 Cd 3.21, 2 Pm 3.46-3.50, 2 Y 3.49
Pm  0.2637  0.5275  0.7500  4 Cd 3.20, 3 Y 3.30-3.57, 2 Pm 3.50
Pm  0.9627  0.9255  0.1067  1 Cd 3.21, 2 Pm 3.46-3.50, 2 Y 3.49
Y  0.5428  0.0856  0.7500  2 Cd 3.21, 5 Pm 3.30-3.49
Y  0.3560  0.7120  0.5331  3 Cd 3.05-3.29
Y  0.3560  0.7120  0.9669  3 Cd 3.05-3.29
Y  0.4572  0.9144  0.2500  2 Cd 3.21, 5 Pm 3.30-3.49
Y  0.6440  0.2880  0.0331  3 Cd 3.05-3.29
Y  0.6440  0.2880  0.4669  3 Cd 3.05-3.29

Calculated values
Its space group is Cmcm, No. 63.

=====

Entry 2:
Ni9Ge2Ir | PBE-GGA | optimized geometry

Unit cell a=3.5967 b=3.5967 c=10.7664 alpha=90.00 beta=90.00 gamma=90.00
Closest atoms and distances in Å follow each position.
Element x y z (fractional)
Ir  0.0000  0.0000  0.0000  12 Ni 2.54-2.56
Ni  0.0000  0.5000  0.8308  8 Ni 2.53-2.56, 2 Ge 2.54, 2 Ir 2.56
Ni  0.5000  0.0000  0.1692  8 Ni 2.53-2.56, 2 Ge 2.54, 2 Ir 2.56
Ni  0.0000  0.5000  0.5000  4 Ge 2.52, 8 Ni 2.53-2.54
Ni  0.5000  0.5000  0.6657  8 Ni 2.53, 4 Ge 2.54
Ni  0.0000  0.5000  0.1692  8 Ni 2.53-2.56, 2 Ge 2.54, 2 Ir 2.56
Ni  0.5000  0.0000  0.8308  8 Ni 2.53-2.56, 2 Ge 2.54, 2 Ir 2.56
Ni  0.5000  0.5000  0.3343  8 Ni 2.53, 4 Ge 2.54
Ni  0.5000  0.5000  0.0000  4 Ir 2.54, 8 Ni 2.56
Ni  0.5000  0.0000  0.5000  4 Ge 2.52, 8 Ni 2.53-2.54
Ge  0.0000  0.0000  0.6641  12 Ni 2.52-2.54
Ge  0.0000  0.0000  0.3359  12 Ni 2.52-2.54

Calculated values
Its space group is P4/mmm, No. 123.

=====

Across the entries above, DFT total energy takes the values -36.13, -71.96 eV/f.u., respectively.
Across the entries above, formation energy takes the values -7.90, -14.73 kJ per mole of atoms, respectively.